No. 1
Ta4ZnPt5 | PBE-GGA | relaxed

Cell: 2.840 2.840 19.959 Å, 90.00 90.00 90.00°
Space group P4/mmm (No. 123)
Asymmetric unit:
Ta 0.000 0.000 0.103
Ta 0.000 0.000 0.308
Zn 0.000 0.000 0.500
Pt 0.500 0.500 0.000
Pt 0.500 0.500 0.205
Pt 0.500 0.500 0.407

Results
Formation enthalpy at 0 K ... -63.7 kJ/mol of atoms
Calculated total energy ... -0.31416 Ha/atom
Mass density ... 18.20 g/cm³
Fermi-level density of states ... 0.269 states/eV/atom
Calculated volume ... 16.10 Å³ per atom

***

No. 2
TaZn2Pt | PBE-GGA | relaxed

Cell: 2.903 2.903 7.323 Å, 90.00 90.00 90.00°
Space group P4/mmm (No. 123)
Asymmetric unit:
Ta 0.000 0.000 0.000
Zn 0.500 0.500 0.267
Pt 0.000 0.000 0.500

Results
Formation enthalpy at 0 K ... -22.0 kJ/mol of atoms
Calculated total energy ... -0.19618 Ha/atom
Offset from the most stable computed form ... 97 meV per atom
Mass density ... 13.63 g/cm³
Fermi-level density of states ... 0.462 states/eV/atom
Calculated volume ... 15.43 Å³ per atom

***

No. 3
Ta2ZnPt | PBE-GGA | relaxed

Cell: 2.833 4.066 5.680 Å, 90.00 90.30 90.00°
Space group P2/m (No. 10)
Asymmetric unit:
Ta 0.000 0.000 0.249
Zn 0.500 0.500 0.000
Pt 0.500 0.500 0.500

Results
Formation enthalpy at 0 K ... -29.1 kJ/mol of atoms
Calculated total energy ... -0.29608 Ha/atom
Offset from the most stable computed form ... 10 meV per atom
Mass density ... 15.80 g/cm³
Fermi-level density of states ... 0.649 states/eV/atom
Calculated volume ... 16.36 Å³ per atom

***

No. 4
TaZnPt | PBE-GGA | relaxed

Cell: 4.4243 4.4243 18.5595 Å, 90.00 90.00 120.00°
Space group R-3m (No. 166, hexagonal axes)
Asymmetric unit:
Ta 0.0000 0.0000 0.1306
Zn 0.0000 0.0000 0.2894
Pt 0.0000 0.0000 0.4264

Results
Formation enthalpy at 0 K ... -25.5 kJ/mol of atoms
Calculated total energy ... -0.24449 Ha/atom
Mass density ... 13.98 g/cm³
Fermi-level density of states ... 0.371 states/eV/atom
Calculated volume ... 17.48 Å³ per atom